First-principles (GGA-PBE) data for ZnInPPt after structural relaxation, as listed in Alexandria.

Calculated values
Final energy in eV per atom: -4.06
Calculated formation energy in kJ per mole of atoms: -19
Calculated density in g cm⁻³: 7.911
Energy relative to the lowest polymorph listed for this composition in meV per atom: 26
D(E_F) in states/eV/atom: 0.128
Magnetic moment in μB/atom: 0.000

POSCAR file:
```
ZnInPPt
1.0
-5.014 -0.540 2.913
-0.464 -3.616 -1.469
3.773 -2.828 5.769
Zn Pt P In
2 2 2 2
Cartesian
-0.489 -2.647 6.669
-2.608 -3.041 3.050
-0.110 -3.834 4.212
-1.765 -0.611 2.062
0.974 -4.742 6.105
-0.681 -1.519 3.955
2.241 -2.311 4.979
0.122 -2.705 1.360
```

=====

First-principles (GGA-PBE) data for ScTaCo2 after structural relaxation, as listed in Alexandria.

Calculated values
Final energy in eV per atom: -8.07
Calculated formation energy in kJ per mole of atoms: 3
Calculated density in g cm⁻³: 9.230
D(E_F) in states/eV/atom: 1.127
Magnetic moment in μB/atom: 0.668

POSCAR file:
```
ScTaCo2
1.0
-2.644 -0.755 1.369
0.794 -2.965 -0.102
2.873 0.568 5.864
Sc Ta Co
1 1 2
Cartesian
1.365 0.270 2.785
1.360 -1.408 5.297
0.076 0.015 0.155
-0.341 -1.745 1.826
```

=====

First-principles (GGA-PBE) data for TePbAuN2 after structural relaxation, as listed in Alexandria.

Calculated values
Final energy in eV per atom: -3.85
Formation energy (no corrections) in meV/atom: 1508.5
Calculated density in g cm⁻³: 8.202
Energy relative to the lowest polymorph listed for this composition in meV per atom: 0
D(E_F) in states/eV/atom: 0.707
Magnetic moment in μB/atom: 0.669

POSCAR file:
```
TePbAuN2
1.0
4.404 0.000 0.000
0.000 4.404 0.000
0.000 0.000 5.842
Au N Te Pb
1 2 1 1
Cartesian
0.000 0.000 0.000
2.202 0.000 0.000
0.000 2.202 0.000
0.000 0.000 2.921
2.202 2.202 2.921
```

=====

First-principles (GGA-PBE) data for TaTiAs2 after structural relaxation, as listed in Alexandria.

Calculated values
Final energy in eV per atom: -7.70
Calculated formation energy in kJ per mole of atoms: -42
Calculated density in g cm⁻³: 8.808
Energy relative to the lowest polymorph listed for this composition in meV per atom: 222
D(E_F) in states/eV/atom: 0.665
Magnetic moment in μB/atom: 0.000

POSCAR file:
```
TaTiAs2
1.0
3.692 0.000 0.000
1.846 3.197 0.000
1.846 1.066 6.047
As Ta Ti
2 1 1
Cartesian
1.846 1.066 1.474
5.538 3.197 4.573
3.692 2.132 3.024
0.000 0.000 0.000
```

=====

First-principles (GGA-PBE) data for Ba3O after structural relaxation, as listed in Alexandria.

Calculated values
Final energy in eV per atom: -3.71
Formation energy (no corrections) in meV/atom: -1023.9
Calculated density in g cm⁻³: 4.280
D(E_F) in states/eV/atom: 0.839
Magnetic moment in μB/atom: 0.000

POSCAR file:
```
Ba3O
1.0
3.741 0.000 0.000
0.000 7.193 0.000
-1.871 -3.597 6.170
Ba O
3 1
Cartesian
0.000 2.854 4.360
1.871 -0.743 1.810
1.871 2.379 0.000
0.000 0.306 0.000
```

=====

First-principles (GGA-PBE) data for LiMgAgF4 after structural relaxation, as listed in Alexandria.

Calculated values
Final energy in eV per atom: -4.57
Formation energy (no corrections) in meV/atom: -2593.9
Calculated density in g cm⁻³: 3.849
D(E_F) in states/eV/atom: 0.000
Magnetic moment in μB/atom: 0.000

POSCAR file:
```
LiMgAgF4
1.0
5.921 0.000 0.000
-2.961 5.861 -0.162
0.000 -3.308 5.440
F Ag Li Mg
8 2 2 2
Cartesian
2.961 0.191 3.513
-1.289 3.363 3.908
1.672 -0.811 1.370
0.000 1.000 4.004
1.289 3.363 3.908
4.249 -0.811 1.370
2.961 1.553 1.274
0.000 2.361 1.765
2.961 3.662 0.364
0.000 -1.110 4.914
-1.480 1.276 2.639
1.480 1.276 2.639
2.961 -1.654 2.720
2.961 0.000 0.000
```

=====

First-principles (GGA-PBE) data for CsCeICl3 after structural relaxation, as listed in Alexandria.

Calculated values
Final energy in eV per atom: -4.16
Formation energy (no corrections) in meV/atom: -1850.6
Calculated density in g cm⁻³: 2.635
D(E_F) in states/eV/atom: 0.998
Magnetic moment in μB/atom: 0.167

POSCAR file:
```
CsCeICl3
1.0
7.421 0.000 0.000
0.000 6.987 0.000
0.000 -3.493 12.306
I Ce Cs Cl
2 2 2 6
Cartesian
1.855 0.000 7.693
5.566 3.493 4.614
1.855 0.000 1.018
5.566 3.493 11.288
1.855 3.493 5.946
5.566 0.000 6.361
5.566 3.493 8.725
0.000 5.236 0.000
3.710 1.751 0.000
3.710 5.236 0.000
0.000 1.751 0.000
1.855 0.000 3.581
```

=====

First-principles (GGA-PBE) data for DySi4Pd4 after structural relaxation, as listed in Alexandria.

Calculated values
Final energy in eV per atom: -5.84
Formation energy (no corrections) in meV/atom: -612.4
Calculated density in g cm⁻³: 7.808
D(E_F) in states/eV/atom: 0.490
Magnetic moment in μB/atom: 0.000

POSCAR file:
```
DySi4Pd4
1.0
6.025 0.000 0.000
0.000 6.025 0.000
0.000 0.000 8.207
Dy Pd Si
2 8 8
Cartesian
3.013 3.013 4.104
0.000 0.000 0.000
0.000 4.415 3.133
1.610 0.000 5.074
3.013 1.403 0.971
4.622 3.013 7.237
1.403 3.013 7.237
4.415 0.000 5.074
0.000 1.610 3.133
3.013 4.622 0.971
3.013 4.806 6.735
1.794 0.000 2.631
0.000 1.794 5.577
0.000 4.231 5.577
1.219 3.013 1.473
3.013 1.219 6.735
4.806 3.013 1.473
4.231 0.000 2.631
```

=====

First-principles (GGA-PBE) data for Sm2YErSe4 after structural relaxation, as listed in Alexandria.

Calculated values
Final energy in eV per atom: -6.08
Formation energy (no corrections) in meV/atom: -1775.0
Calculated density in g cm⁻³: 7.339
D(E_F) in states/eV/atom: 0.553
Magnetic moment in μB/atom: 0.000

POSCAR file:
```
Sm2YErSe4
1.0
-0.249 -3.164 2.531
4.419 -3.793 -4.306
6.698 1.115 2.052
Er Se Sm Y
1 4 2 1
Cartesian
5.558 -1.339 -1.127
8.301 -1.969 -1.645
2.567 -3.872 1.922
4.855 -4.096 -1.388
6.013 -1.745 1.666
6.698 1.115 2.052
3.225 -1.024 2.292
2.085 -3.478 -0.887
```

=====

First-principles (GGA-PBE) data for Ac5Ni2Hg2 after structural relaxation, as listed in Alexandria.

Calculated values
Final energy in eV per atom: -3.91
Calculated formation energy in kJ per mole of atoms: -26
Calculated density in g cm⁻³: 9.504
D(E_F) in states/eV/atom: 0.889
Magnetic moment in μB/atom: 0.000

POSCAR file:
```
Ac5Ni2Hg2
1.0
9.165 0.000 0.000
0.000 7.591 0.000
0.000 -3.796 8.305
Hg Ac Ni
4 10 4
Cartesian
4.583 3.796 3.488
0.000 3.796 4.817
0.000 0.000 3.488
4.583 0.000 4.817
7.542 1.130 6.268
2.960 6.462 2.037
6.206 1.130 2.037
2.960 2.666 6.268
0.000 0.000 0.000
1.623 2.666 2.037
7.542 4.925 2.037
1.623 -1.130 6.268
6.206 -2.666 6.268
4.583 3.796 0.000
5.509 6.611 0.000
0.927 4.776 0.000
3.656 0.980 0.000
8.239 2.815 0.000
```

=====

First-principles (GGA-PBE) data for RbTc2AgPd after structural relaxation, as listed in Alexandria.

Calculated values
Final energy in eV per atom: -3.18
Calculated formation energy in kJ per mole of atoms: 267
Calculated density in g cm⁻³: 6.930
D(E_F) in states/eV/atom: 1.087
Magnetic moment in μB/atom: 1.009

POSCAR file:
```
RbTc2AgPd
1.0
4.871 0.000 0.000
0.000 5.006 0.000
0.000 0.000 4.871
Tc Ag Rb Pd
2 1 1 1
Cartesian
2.436 0.000 0.000
0.000 0.000 2.436
2.436 2.503 2.436
0.000 0.000 0.000
0.000 2.503 0.000
```

=====

First-principles (GGA-PBE) data for Sc2InCo after structural relaxation, as listed in Alexandria.

Calculated values
Final energy in eV per atom: -5.89
Calculated formation energy in kJ per mole of atoms: -25
Calculated density in g cm⁻³: 5.708
D(E_F) in states/eV/atom: 0.586
Magnetic moment in μB/atom: 0.125

POSCAR file:
```
Sc2InCo
1.0
4.707 0.000 0.000
0.000 4.705 0.000
0.000 0.000 3.463
Sc In Co
2 1 1
Cartesian
2.354 2.353 0.000
0.000 0.000 0.000
0.000 2.353 1.732
2.354 0.000 1.732
```